[1]
Here is a geometry-optimized NdSmI4 structure from the Alexandria database. Energies are from PBE.

Values from the calculation:
calculated density = 5.29 g/cm³
DOS at the Fermi energy = 3.50 states/eV/cell
raw formation energy = -1.281 eV/atom

Cell lengths 4.2194, 7.3016, 8.5120 Å; angles 106.24, 90.00, 90.00 degrees
Closest atoms and distances in Å follow each position.
Sites, in units of the cell vectors:
1 Nd 0.0000 0.5000 0.5000  6 I 3.18-3.19
2 Sm 0.5000 0.0000 0.5000  6 I 3.16
3 I 0.0000 0.2439 0.7472  2 Sm 3.16, 1 Nd 3.18
4 I 0.0000 0.7561 0.2528  2 Sm 3.16, 1 Nd 3.18
5 I 0.5000 0.7517 0.7499  1 Sm 3.16, 2 Nd 3.19
6 I 0.5000 0.2483 0.2501  1 Sm 3.16, 2 Nd 3.19


[2]
Here is a geometry-optimized TaTl2Cd structure from the Alexandria database. Energies are from PBE.

Values from the calculation:
calculated density = 13.02 g/cm³
DOS at the Fermi energy = 1.19 states/eV/cell
formation energy = 0.4438 eV per atom

Cell lengths 5.9477, 5.9477, 5.4183 Å; angles 66.95, 66.95, 30.76 degrees
Closest atoms and distances in Å follow each position.
Sites, in units of the cell vectors:
1 Tl 0.0136 0.0136 0.9087  3 Ta 3.10-3.11, 4 Cd 3.15-3.16, 5 Tl 3.15-3.38
2 Tl 0.2441 0.2441 0.3230  4 Ta 3.03-3.25, 3 Cd 3.03-3.22, 5 Tl 3.15-3.38
3 Cd 0.4829 0.4829 0.4341  7 Tl 3.03-3.22, 2 Ta 3.04, 2 Cd 3.15
4 Ta 0.7593 0.7593 0.8342  7 Tl 3.03-3.25, 2 Cd 3.04, 2 Ta 3.15